TmMgAgIr | GGA-PBE | relaxed

## Properties
calculated density: 10.81 g cm⁻³
total DFT energy (no corrections): -4.9306 eV per atom

a = 4.750 Å, b = 4.750 Å, c = 4.750 Å
α = 60.00°, β = 60.00°, γ = 60.00°
Element x y z (fractional)
1 Mg 0.500 0.500 0.500
2 Ir 0.750 0.750 0.750
3 Tm 0.000 0.000 0.000
4 Ag 0.250 0.250 0.250